# Dy5TePb4 GGA-PBE optimized geometry
# - ΔE to the lowest computed polymorph: 0 meV per atom
# - Formation energy without anion corrections: -588 meV per atom
data_Dy5TePb4
_cell_length_a 9.912
_cell_length_b 9.912
_cell_length_c 6.258
_cell_angle_alpha 90.00
_cell_angle_beta 90.00
_cell_angle_gamma 90.00
_symmetry_space_group_name_H-M 'I 4/m'
_symmetry_Int_Tables_number 87
_symmetry_space_group_name_Hall '-I 4'
loop_
_atom_site_label
_atom_site_type_symbol
_atom_site_fract_x
_atom_site_fract_y
_atom_site_fract_z
Dy1 Dy 0.000 0.000 0.000
Dy2 Dy 0.098 0.298 0.500
Te1 Te 0.000 0.000 0.500
Pb1 Pb 0.101 0.299 0.000